A plane-wave DFT calculation with PBE was carried out for Ca2HgGe2Pd5 after structural relaxation.

density: 8455 kg/m³
space-group type: P4/mbm (127)
formation energy: -602 meV/atom
calculated total energy: -4.552 eV per atom

Lattice parameters (Å, degrees): 10.1658 10.1658 3.6416 90.00 90.00 90.00
Closest atoms and distances in Å follow each position.
Fractional positions:
Ca: 0.1746 0.3254 0.0000  3 Ge 2.88-3.09, 2 Pd 3.10
Ca: 0.3254 0.8254 0.0000  3 Ge 2.88-3.09, 2 Pd 3.10
Ca: 0.6746 0.1746 0.0000  3 Ge 2.88-3.09, 2 Pd 3.10
Ca: 0.8254 0.6746 0.0000  3 Ge 2.88-3.09, 2 Pd 3.10
Hg: 0.0000 0.0000 0.0000  8 Pd 2.89
Hg: 0.5000 0.5000 0.0000  8 Pd 2.89
Ge: 0.1249 0.6249 0.0000  6 Pd 2.55-2.56
Ge: 0.3751 0.1249 0.0000  6 Pd 2.55-2.56
Ge: 0.6249 0.8751 0.0000  6 Pd 2.55-2.56
Ge: 0.8751 0.3751 0.0000  6 Pd 2.55-2.56
Pd: 0.0000 0.5000 0.5000  4 Ge 2.56
Pd: 0.0628 0.7890 0.5000  2 Ge 2.55
Pd: 0.2110 0.0628 0.5000  2 Ge 2.55
Pd: 0.2890 0.5628 0.5000  2 Ge 2.55
Pd: 0.4372 0.2890 0.5000  2 Ge 2.55
Pd: 0.5000 0.0000 0.5000  4 Ge 2.56
Pd: 0.5628 0.7110 0.5000  2 Ge 2.55
Pd: 0.7110 0.4372 0.5000  2 Ge 2.55
Pd: 0.7890 0.9372 0.5000  2 Ge 2.55
Pd: 0.9372 0.2110 0.5000  2 Ge 2.55